Computed, not measured: a relaxed LiCu2NiF8 crystal at the PBE with a Hubbard U level of DFT.

## Properties
space-group type = I-4 (82)
mass density = 3.83 Mg/m³
total moment = 1.2 μB/f.u.
final energy = -48.0 eV/cell

a = 5.187 Å, b = 5.187 Å, c = 6.656 Å
α = 112.93°, β = 112.93°, γ = 90.00°
Fractional coordinates of all 12 atoms:
Li1 0.750 0.250 0.500
Cu1 0.500 0.500 0.000
Cu2 0.250 0.750 0.500
Ni1 0.000 0.000 0.000
F1 0.685 0.819 0.006
F2 0.321 0.187 0.006
F3 0.550 0.578 0.502
F4 0.952 0.924 0.502
F5 0.076 0.450 0.498
F6 0.422 0.048 0.498
F7 0.181 0.679 0.994
F8 0.813 0.315 0.994